No. 1
BiRh3Br (PBE, relaxed); energy above the lowest structure with this stoichiometry = 0.0 meV/atom; density = 9.70 Mg/m³; uncorrected formation energy = 741 meV/atom; E_tot = -23.90 eV for the cell shown
1.0
-0.3145 -4.3613 1.6594
3.3031 -1.3828 -3.0084
3.2960 0.9697 3.1732
Rh Bi Br
3 1 1
direct
0.0000 0.5000 0.0000
0.0000 0.0000 0.5000
0.5000 0.0000 0.0000
0.5000 0.5000 0.5000
0.0000 0.0000 0.0000

***

No. 2
Cs3GaBr (PBE, relaxed); energy above the lowest structure with this stoichiometry = 0.0 meV/atom; density = 2.70 Mg/m³; uncorrected formation energy = -459 meV/atom; E_tot = -9.55 eV for the cell shown
1.0
-1.4664 6.4647 -2.1329
-6.5705 -0.7734 2.1731
1.7805 2.4701 6.2626
Cs Ga Br
3 1 1
direct
0.0000 0.5000 0.0000
0.0000 0.0000 0.5000
0.5000 0.0000 0.0000
0.5000 0.5000 0.5000
0.0000 0.0000 0.0000

***

No. 3
BaMg2As (PBE, relaxed); energy of formation = -399 meV per atom; density = 3.51 Mg/m³; E_tot = -11.36 eV for the cell shown
1.0
-2.2150 -2.8405 -2.7554
-2.5577 -3.3236 1.7258
-7.0745 2.2086 -0.3029
As Ba Mg
1 1 2
direct
0.4695 0.4695 0.5941
0.2395 0.2395 0.2803
0.0258 0.0258 0.9202
0.7653 0.7653 0.7053